The following is a PBE-GGA calculation of crystalline Al2Cu2Se at its relaxed geometry, from the Alexandria database.

Cell: 6.749 6.749 3.485 Å, 90.00 90.00 90.00°
Space group P4/mbm (No. 127)
Unique sites:
Al1 0.160 0.340 0.000 [4 per cell]
Cu1 0.131 0.631 0.500 [4 per cell]
Se1 0.000 0.000 0.500 [2 per cell]

DOS at the Fermi energy: 3.95 states/eV per cell
calculated volume: 159 Å³/cell
calculated density: 5.44 g/cm³
E_form (uncorrected): 0.03 eV/atom

The following is a PBE-GGA calculation of crystalline CdB2Pt9Pb3 at its relaxed geometry, from the Alexandria database.

Cell: 5.6513 5.6513 10.1786 Å, 90.00 90.00 120.00°
Space group P-3m1 (No. 164)
Unique sites:
Cd1 0.0000 0.0000 0.0000 [1 per cell]
B1 0.3333 0.6667 0.6461 [2 per cell]
Pt1 0.0000 0.5000 0.5000 [3 per cell]
Pt2 0.1635 0.3271 0.7717 [6 per cell]
Pb1 0.0000 0.0000 0.5000 [1 per cell]
Pb2 0.3333 0.6667 0.1264 [2 per cell]

DOS at the Fermi energy: 1.97 states/eV per cell
calculated volume: 282 Å³/cell
calculated density: 14.81 g/cm³
formation enthalpy at 0 K: -0.176 eV/atom

The following is a PBE-GGA calculation of crystalline Nd2Sn3Hg3 at its relaxed geometry, from the Alexandria database.

Cell: 4.691 4.819 9.212 Å, 90.00 90.00 90.00°
Space group Pmmm (No. 47)
Unique sites:
Nd1 0.000 0.000 0.247 [2 per cell]
Sn1 0.000 0.500 0.000 [1 per cell]
Sn2 0.500 0.000 0.000 [1 per cell]
Sn3 0.500 0.000 0.500 [1 per cell]
Hg1 0.000 0.500 0.500 [1 per cell]
Hg2 0.500 0.500 0.254 [2 per cell]

DOS at the Fermi energy: 4.08 states/eV per cell
calculated volume: 208 Å³/cell
calculated density: 9.94 g/cm³
formation enthalpy at 0 K: -0.487 eV/atom

- The highest calculated density belongs to which entry?
  CdB2Pt9Pb3